[1]
## ScNb2IrC (PBE-GGA)

Data for a relaxed structure of ScNb2IrC.

Its polymorph energy (0 for the lowest one) is 0.725 eV per atom. As for the energy of formation: 2714 meV/atom. The uncorrected energy is -0.22774 Ha/atom.

It has space group P4/mmm (No. 123), with a = 4.799 Å, b = 4.799 Å, c = 4.521 Å, α = 90.00°, β = 90.00° and γ = 90.00°. Symmetry generates all atoms from Sc at (0.000, 0.000, 0.000), Nb at (0.000, 0.500, 0.000), Ir at (0.000, 0.000, 0.500) and C at (0.500, 0.500, 0.500).

=====

[2]
## Th3Fe2Ge4 (PBE-GGA)

Data for a relaxed structure of Th3Fe2Ge4.

As for the energy of formation: -575 meV/atom. The uncorrected energy is -0.25654 Ha/atom.

It has space group C2/m (No. 12), with a = 11.046 Å, b = 4.231 Å, c = 8.238 Å, α = 90.00°, β = 101.78° and γ = 90.00°. Symmetry generates all atoms from Th at (0.000, 0.000, 0.000), Th at (0.160, 0.500, 0.652), Fe at (0.095, 0.500, 0.271), Ge at (0.061, 0.000, 0.379) and Ge at (0.226, 0.500, 0.080).

=====

[3]
## NbFeNi2 (PBE-GGA)

Data for a relaxed structure of NbFeNi2.

As for the energy of formation: 304 meV/atom. The uncorrected energy is -0.26531 Ha/atom.

It has space group I-42d (No. 122), with a = 3.515 Å, b = 3.515 Å, c = 17.422 Å, α = 90.00°, β = 90.00° and γ = 90.00°. Symmetry generates all atoms from Nb at (0.000, 0.000, 0.000), Fe at (0.000, 0.000, 0.500) and Ni at (0.227, 0.250, 0.625).

=====

[4]
## Nb2MoHRu (PBE-GGA)

Data for a relaxed structure of Nb2MoHRu.

Its polymorph energy (0 for the lowest one) is 0.000 eV per atom. The uncorrected energy is -0.32434 Ha/atom.

It has space group P4/mmm (No. 123), with a = 4.470 Å, b = 4.470 Å, c = 3.453 Å, α = 90.00°, β = 90.00° and γ = 90.00°. Symmetry generates all atoms from Nb at (0.000, 0.500, 0.000), Mo at (0.000, 0.000, 0.500), H at (0.500, 0.500, 0.000) and Ru at (0.500, 0.500, 0.500).

=====

[5]
## Sc2Cu2O (PBE-GGA)

Data for a relaxed structure of Sc2Cu2O.

Its polymorph energy (0 for the lowest one) is 0.172 eV per atom. The uncorrected energy is -0.19231 Ha/atom. The calculation puts the energy relative to the elements, uncorrected at -0.4 eV/f.u.

It has space group I4/mmm (No. 139), with a = 5.253 Å, b = 5.253 Å, c = 6.026 Å, α = 90.00°, β = 90.00° and γ = 90.00°. Symmetry generates all atoms from Sc at (0.000, 0.500, 0.250), Cu at (0.000, 0.000, 0.181) and O at (0.000, 0.000, 0.500).